Density functional theory data (PBE) for crystalline CaIrBr at its relaxed geometry.

```
data_CaIrBr
_chemical_formula_sum 'Ca4 Ir4 Br4'
_symmetry_space_group_name_H-M 'P 1'
_symmetry_Int_Tables_number 1
_symmetry_space_group_name_Hall 'P 1'
_cell_length_a 7.139
_cell_length_b 4.292
_cell_length_c 11.536
_cell_angle_alpha 90.00
_cell_angle_beta 101.50
_cell_angle_gamma 90.00
loop_
_atom_site_label
_atom_site_type_symbol
_atom_site_fract_x
_atom_site_fract_y
_atom_site_fract_z
_atom_site_occupancy
Ca1 Ca 0.062 0.000 0.194 1
Ca2 Ca 0.438 0.500 0.806 1
Ca3 Ca 0.562 0.500 0.194 1
Ca4 Ca 0.938 0.000 0.806 1
Ir1 Ir 0.174 0.500 0.998 1
Ir2 Ir 0.326 0.000 0.002 1
Ir3 Ir 0.674 0.000 0.998 1
Ir4 Ir 0.826 0.500 0.002 1
Br1 Br 0.232 0.000 0.663 1
Br2 Br 0.268 0.500 0.337 1
Br3 Br 0.732 0.500 0.663 1
Br4 Br 0.768 0.000 0.337 1
```

Properties
Uncorrected formation energy ... -1.072 eV per atom
Energy above the lowest structure with this stoichiometry ... 0 meV/atom
Mass density ... 6.0 g/cm³